No. 1
LiSnB | GGA-PBE | relaxed

Output
For the energy relative to the lowest polymorph listed for this composition, the calculation gives 789 meV/atom. The value obtained for the formation energy is 699 meV/atom. The calculation puts the total energy at -3.50 eV/atom. The density of states at the Fermi level comes out at 1.5 states/eV per cell.

Cell lengths 4.4780, 4.4780, 5.4563 Å; angles 90.00, 90.00, 94.32 degrees
Closest atoms and distances in Å follow each position.
Atoms (fractional coordinates):
Li  0.1988  0.8012  0.7500  2 B 2.40
Li  0.8012  0.1988  0.2500  2 B 2.40
Sn  0.2230  0.7770  0.2500  2 B 2.27
Sn  0.7770  0.2230  0.7500  2 B 2.27
B  0.5000  0.5000  0.0000  2 Sn 2.27, 2 Li 2.40
B  0.5000  0.5000  0.5000  2 Sn 2.27, 2 Li 2.40


No. 2
Dy2ZnSi2 | GGA-PBE | relaxed

Output
For the energy relative to the lowest polymorph listed for this composition, the calculation gives 0 meV/atom. The calculation puts the total energy at -4.94 eV/atom. The density of states at the Fermi level comes out at 3.5 states/eV per cell.

Cell lengths 6.9214, 6.9214, 4.2505 Å; angles 90.00, 90.00, 90.00 degrees
Closest atoms and distances in Å follow each position.
Atoms (fractional coordinates):
Dy  0.1778  0.3222  0.0000  6 Si 2.89-2.99
Dy  0.3222  0.8222  0.0000  6 Si 2.89-2.99
Dy  0.6778  0.1778  0.0000  6 Si 2.89-2.99
Dy  0.8222  0.6778  0.0000  6 Si 2.89-2.99
Zn  0.0000  0.0000  0.5000  4 Si 2.75
Zn  0.5000  0.5000  0.5000  4 Si 2.75
Si  0.1215  0.6215  0.5000  1 Si 2.38
Si  0.3785  0.1215  0.5000  1 Si 2.38
Si  0.6215  0.8785  0.5000  1 Si 2.38
Si  0.8785  0.3785  0.5000  1 Si 2.38


No. 3
Ba3HgAu | GGA-PBE | relaxed

Output
For the energy relative to the lowest polymorph listed for this composition, the calculation gives 196 meV/atom. The value obtained for the formation energy is -307 meV/atom. The calculation puts the total energy at -2.18 eV/atom. The density of states at the Fermi level comes out at 3.9 states/eV per cell.

Cell lengths 6.3827, 6.3827, 6.3827 Å; angles 90.00, 90.00, 90.00 degrees
Closest atoms and distances in Å follow each position.
Atoms (fractional coordinates):
Ba  0.0000  0.0000  0.5000  2 Au 3.19
Ba  0.0000  0.5000  0.0000  2 Au 3.19
Ba  0.5000  0.0000  0.0000  2 Au 3.19
Hg  0.5000  0.5000  0.5000  12 Ba 4.51
Au  0.0000  0.0000  0.0000  6 Ba 3.19


No. 4
Pr2NdAu6 | GGA-PBE | relaxed

Output
The value obtained for the formation energy is -694 meV/atom. The calculation puts the total energy at -4.47 eV/atom. The density of states at the Fermi level comes out at 5.7 states/eV per cell.

Cell lengths 8.6417, 8.6417, 8.6417 Å; angles 154.75, 126.40, 60.14 degrees
Closest atoms and distances in Å follow each position.
Atoms (fractional coordinates):
Pr  0.1414  0.1414  0.0000  10 Au 3.09-3.18
Pr  0.8586  0.8586  0.0000  10 Au 3.09-3.18
Nd  0.5000  0.0000  0.5000  4 Au 3.09
Au  0.1407  0.3246  0.8161  4 Au 2.81-3.10, 3 Pr 3.09-3.15
Au  0.1854  0.5000  0.6854  3 Au 2.81-2.89, 2 Nd 3.09
Au  0.4914  0.6754  0.8161  4 Au 2.81-3.10, 3 Pr 3.09-3.15
Au  0.5086  0.3246  0.1839  4 Au 2.81-3.10, 3 Pr 3.09-3.15
Au  0.8146  0.5000  0.3146  3 Au 2.81-2.89, 2 Nd 3.09
Au  0.8593  0.6754  0.1839  4 Au 2.81-3.10, 3 Pr 3.09-3.15


No. 5
MnBeCo | GGA-PBE | relaxed

Output
For the energy relative to the lowest polymorph listed for this composition, the calculation gives 79 meV/atom. The value obtained for the formation energy is -80 meV/atom. The calculation puts the total energy at -6.75 eV/atom. The density of states at the Fermi level comes out at 5.4 states/eV per cell.

Cell lengths 3.9648, 4.1922, 4.2351 Å; angles 68.32, 71.08, 63.32 degrees
Closest atoms and distances in Å follow each position.
Atoms (fractional coordinates):
Mn  0.1105  0.4038  0.2531  2 Mn 2.28-2.31, 5 Be 2.31-2.52, 4 Co 2.36-2.49
Mn  0.8895  0.5962  0.7469  2 Mn 2.28-2.31, 5 Be 2.31-2.52, 4 Co 2.36-2.49
Be  0.2187  0.9163  0.7803  1 Be 2.18, 4 Co 2.25-2.33, 4 Mn 2.31-2.43
Be  0.7813  0.0837  0.2197  1 Be 2.18, 4 Co 2.25-2.33, 4 Mn 2.31-2.43
Co  0.4236  0.7676  0.2724  4 Be 2.25-2.33, 2 Co 2.34-2.51, 4 Mn 2.36-2.49
Co  0.5764  0.2324  0.7276  4 Be 2.25-2.33, 2 Co 2.34-2.51, 4 Mn 2.36-2.49


No. 6
LaYSi3 | GGA-PBE | relaxed

Output
For the energy relative to the lowest polymorph listed for this composition, the calculation gives 1531 meV/atom. The calculation puts the total energy at -4.75 eV/atom. The density of states at the Fermi level comes out at 3.1 states/eV per cell.

Cell lengths 5.2651, 5.2651, 5.2651 Å; angles 90.00, 90.00, 90.00 degrees
Closest atoms and distances in Å follow each position.
Atoms (fractional coordinates):
La  0.0000  0.0000  0.0000  6 Si 2.63
Y  0.5000  0.5000  0.5000  12 Si 3.72
Si  0.0000  0.0000  0.5000  2 La 2.63
Si  0.0000  0.5000  0.0000  2 La 2.63
Si  0.5000  0.0000  0.0000  2 La 2.63


No. 7
LaAsI2O | GGA-PBE | relaxed

Output
For the energy relative to the lowest polymorph listed for this composition, the calculation gives 0 meV/atom. The calculation puts the total energy at -4.38 eV/atom. The density of states at the Fermi level comes out at 4.2 states/eV per cell.

Cell lengths 6.5596, 6.5596, 4.2927 Å; angles 90.00, 90.00, 90.00 degrees
Closest atoms and distances in Å follow each position.
Atoms (fractional coordinates):
La  0.0000  0.0000  0.0000  2 O 2.15
As  0.5000  0.5000  0.5000  8 I 3.92, 2 As 4.29
I  0.0000  0.5000  0.0000  2 La 3.28
I  0.5000  0.0000  0.0000  2 La 3.28
O  0.0000  0.0000  0.5000  2 La 2.15


No. 8
MgF | GGA-PBE | relaxed

Output
For the energy relative to the lowest polymorph listed for this composition, the calculation gives 428 meV/atom. The calculation puts the total energy at -3.75 eV/atom. The density of states at the Fermi level comes out at 3.2 states/eV per cell.

Cell lengths 6.0929, 6.0929, 6.0929 Å; angles 90.00, 90.00, 90.00 degrees
Closest atoms and distances in Å follow each position.
Atoms (fractional coordinates):
Mg  0.0000  0.2500  0.5000  4 F 2.15
Mg  0.0000  0.7500  0.5000  4 F 2.15
Mg  0.2500  0.5000  0.0000  4 F 2.15
Mg  0.5000  0.0000  0.2500  4 F 2.15
Mg  0.5000  0.0000  0.7500  4 F 2.15
Mg  0.7500  0.5000  0.0000  4 F 2.15
F  0.0000  0.5000  0.2500  4 Mg 2.15
F  0.0000  0.5000  0.7500  4 Mg 2.15
F  0.2500  0.0000  0.5000  4 Mg 2.15
F  0.5000  0.2500  0.0000  4 Mg 2.15
F  0.5000  0.7500  0.0000  4 Mg 2.15
F  0.7500  0.0000  0.5000  4 Mg 2.15


No. 9
LiZnP2 | GGA-PBE | relaxed

Output
The value obtained for the formation energy is 129 meV/atom. The calculation puts the total energy at -3.37 eV/atom. The density of states at the Fermi level comes out at 1.2 states/eV per cell.

Cell lengths 2.5216, 2.5216, 9.7415 Å; angles 90.00, 90.00, 93.66 degrees
Closest atoms and distances in Å follow each position.
Atoms (fractional coordinates):
Li  0.0000  0.0000  0.0000  4 Li 2.52, 4 P 2.61-2.68, 2 Zn 2.77
Zn  0.5000  0.5000  0.2229  4 Zn 2.52, 2 Li 2.77
P  0.0000  0.0000  0.4525  4 P 2.52
P  0.5000  0.5000  0.7996  4 P 2.52, 4 Li 2.61-2.68


No. 10
In2AuSe | GGA-PBE | relaxed

Output
The calculation puts the total energy at -3.18 eV/atom. The density of states at the Fermi level comes out at 1.5 states/eV per cell.

Cell lengths 3.6619, 3.6619, 7.8481 Å; angles 90.00, 90.00, 111.06 degrees
Closest atoms and distances in Å follow each position.
Atoms (fractional coordinates):
In  0.0000  0.0000  0.2478  2 Au 2.84, 2 Se 2.87
In  0.0000  0.0000  0.7522  2 Au 2.84, 2 Se 2.87
Au  0.5000  0.5000  0.0000  4 In 2.84
Se  0.5000  0.5000  0.5000  4 In 2.87


No. 11
CuMoAu2 | GGA-PBE | relaxed

Output
For the energy relative to the lowest polymorph listed for this composition, the calculation gives 139 meV/atom. The value obtained for the formation energy is 267 meV/atom. The calculation puts the total energy at -5.10 eV/atom. The density of states at the Fermi level comes out at 3.6 states/eV per cell.

Cell lengths 4.9459, 4.9459, 2.7413 Å; angles 90.15, 90.15, 103.82 degrees
Closest atoms and distances in Å follow each position.
Atoms (fractional coordinates):
Cu  0.0000  0.0000  0.0000  2 Cu 2.74, 8 Au 2.82-2.83, 2 Mo 3.05
Mo  0.5000  0.5000  0.0000  2 Mo 2.74, 8 Au 2.82-2.83, 2 Cu 3.05
Au  0.0000  0.5000  0.5000  4 Au 2.74-3.05, 4 Mo 2.82-2.83, 4 Cu 2.82-2.83
Au  0.5000  0.0000  0.5000  4 Au 2.74-3.05, 4 Mo 2.82-2.83, 4 Cu 2.82-2.83


No. 12
KOsS2Cl | GGA-PBE | relaxed

Output
For the energy relative to the lowest polymorph listed for this composition, the calculation gives 2256 meV/atom. The calculation puts the total energy at -2.58 eV/atom. The density of states at the Fermi level comes out at 9.1 states/eV per cell.

Cell lengths 5.4728, 5.4728, 5.3156 Å; angles 90.00, 90.00, 90.00 degrees
Closest atoms and distances in Å follow each position.
Atoms (fractional coordinates):
K  0.0000  0.0000  0.0000  2 Cl 2.66, 4 S 2.74
Os  0.5000  0.5000  0.5000  8 S 3.81, 4 Cl 3.87
S  0.0000  0.5000  0.0000  2 K 2.74
S  0.5000  0.0000  0.0000  2 K 2.74
Cl  0.0000  0.0000  0.5000  2 K 2.66


No. 13
LiPr3Sm3S8 | GGA-PBE | relaxed

Output
The calculation puts the total energy at -6.20 eV/atom. The density of states at the Fermi level comes out at 4.6 states/eV per cell.

Cell lengths 8.0654, 8.0654, 8.0654 Å; angles 59.76, 59.76, 59.76 degrees
Closest atoms and distances in Å follow each position.
Atoms (fractional coordinates):
Li  0.0000  0.0000  0.0000  6 S 2.76
Pr  0.0000  0.0000  0.5000  6 S 2.87-2.88
Pr  0.0000  0.5000  0.0000  6 S 2.87-2.88
Pr  0.5000  0.0000  0.0000  6 S 2.87-2.88
Sm  0.0000  0.5000  0.5000  6 S 2.82
Sm  0.5000  0.0000  0.5000  6 S 2.82
Sm  0.5000  0.5000  0.0000  6 S 2.82
S  0.2425  0.2425  0.7525  1 Li 2.76, 2 Sm 2.82, 2 Pr 2.88
S  0.2425  0.7525  0.2425  1 Li 2.76, 2 Sm 2.82, 2 Pr 2.88
S  0.2475  0.7575  0.7575  1 Li 2.76, 2 Sm 2.82, 2 Pr 2.88
S  0.2524  0.2524  0.2524  3 Sm 2.82, 3 Pr 2.87
S  0.7476  0.7476  0.7476  3 Sm 2.82, 3 Pr 2.87
S  0.7525  0.2425  0.2425  1 Li 2.76, 2 Sm 2.82, 2 Pr 2.88
S  0.7575  0.2475  0.7575  1 Li 2.76, 2 Sm 2.82, 2 Pr 2.88
S  0.7575  0.7575  0.2475  1 Li 2.76, 2 Sm 2.82, 2 Pr 2.88


No. 14
Li2Cu3Pt4 | GGA-PBE | relaxed

Output
The value obtained for the formation energy is -309 meV/atom. The calculation puts the total energy at -4.78 eV/atom. The density of states at the Fermi level comes out at 4.1 states/eV per cell.

Cell lengths 4.5820, 4.5820, 8.0400 Å; angles 105.28, 105.28, 49.67 degrees
Closest atoms and distances in Å follow each position.
Atoms (fractional coordinates):
Li  0.1689  0.1689  0.2207  7 Pt 2.66-2.69, 5 Cu 2.70-2.73
Li  0.8311  0.8311  0.7793  7 Pt 2.66-2.69, 5 Cu 2.70-2.73
Cu  0.1644  0.1644  0.5545  6 Pt 2.62-2.69, 3 Cu 2.62-2.69, 3 Li 2.70-2.73
Cu  0.5000  0.5000  0.0000  8 Pt 2.67-2.68, 4 Li 2.72
Cu  0.8356  0.8356  0.4455  6 Pt 2.62-2.69, 3 Cu 2.62-2.69, 3 Li 2.70-2.73
Pt  0.1647  0.1647  0.8878  4 Li 2.66-2.67, 4 Cu 2.67-2.68, 4 Pt 2.74
Pt  0.4930  0.4930  0.6641  6 Cu 2.62-2.69, 3 Li 2.66-2.69, 3 Pt 2.67-2.74
Pt  0.5070  0.5070  0.3359  6 Cu 2.62-2.69, 3 Li 2.66-2.69, 3 Pt 2.67-2.74
Pt  0.8353  0.8353  0.1122  4 Li 2.66-2.67, 4 Cu 2.67-2.68, 4 Pt 2.74


No. 15
BRhAu | GGA-PBE | relaxed

Output
The value obtained for the formation energy is -46 meV/atom. The calculation puts the total energy at -5.82 eV/atom. The density of states at the Fermi level comes out at 1.5 states/eV per cell.

Cell lengths 3.4352, 3.5195, 7.7452 Å; angles 99.80, 94.72, 113.73 degrees
Closest atoms and distances in Å follow each position.
Atoms (fractional coordinates):
B  0.2373  0.4139  0.1671  4 Rh 2.06-2.20, 1 Au 2.30
B  0.7627  0.5861  0.8329  4 Rh 2.06-2.20, 1 Au 2.30
Rh  0.1233  0.2534  0.8750  4 B 2.06-2.20
Rh  0.8767  0.7466  0.1250  4 B 2.06-2.20
Au  0.3744  0.7475  0.6239  1 B 2.30
Au  0.6256  0.2525  0.3761  1 B 2.30


No. 16
TaI3N | GGA-PBE | relaxed

Output
For the energy relative to the lowest polymorph listed for this composition, the calculation gives 517 meV/atom. The calculation puts the total energy at -3.37 eV/atom. The density of states at the Fermi level comes out at 3.9 states/eV per cell.

Cell lengths 4.9495, 4.9495, 4.9495 Å; angles 90.00, 90.00, 90.00 degrees
Closest atoms and distances in Å follow each position.
Atoms (fractional coordinates):
Ta  0.0000  0.0000  0.0000  12 I 3.50
I  0.0000  0.5000  0.5000  2 N 2.47
I  0.5000  0.0000  0.5000  2 N 2.47
I  0.5000  0.5000  0.0000  2 N 2.47
N  0.5000  0.5000  0.5000  6 I 2.47